Tm8GaSb2 | PBE | relaxed

Geometry as POSCAR:
```
Tm8GaSb2
1.0
-1.0262 -1.0525 -4.6457
1.2036 -6.5423 1.2163
-8.6867 1.2167 4.1986
Tm Ga Sb
8 1 2
Direct
0.4083 0.5192 0.8166 Tm
0.6547 0.0196 0.3094 Tm
0.7844 0.6608 0.5689 Tm
0.9829 0.2310 0.9659 Tm
0.2156 0.3392 0.4311 Tm
0.3453 0.9804 0.6906 Tm
0.5917 0.4808 0.1834 Tm
0.0171 0.7690 0.0341 Tm
0.5000 0.0000 0.0000 Ga
0.8191 0.2281 0.6382 Sb
0.1809 0.7719 0.3618 Sb
```

Crystal system: monoclinic
Size of the total moment: 0.00 μB per formula unit
DFT total energy: -51.61 eV per cell
Raw formation energy: -4.6 eV/f.u.